Computed, not measured: NpAgSeN after structural relaxation at the PBE level of DFT.

Computed properties:
V = 151 Å³ per cell
crystal system = trigonal
DOS at the Fermi energy = 7.16 states/eV/f.u.
VASP energy = -61.5 eV for the cell shown

a b c (Å): 3.8635 3.8635 11.8736
angles (deg): 80.64 80.64 60.00
Site moments in Bohr magnetons follow the coordinates.
Element x y z (fractional)
N 0.1903 0.1903 0.4290  -0.19
N 0.8097 0.8097 0.5710  -0.19
Np 0.8729 0.8729 0.3814  2.95
Np 0.1271 0.1271 0.6186  2.95
Se 0.4053 0.4053 0.7842  -0.10
Se 0.5947 0.5947 0.2158  -0.10
Ag 0.6927 0.6927 0.9218  0.00
Ag 0.3073 0.3073 0.0782  0.00


Computed, not measured: Li2ZnPH after structural relaxation at the PBE level of DFT.

Computed properties:
V = 57 Å³ per cell
crystal system = tetragonal
DOS at the Fermi energy = 0.42 states/eV/f.u.
VASP energy = -15.6 eV for the cell shown

a b c (Å): 3.7600 3.7600 4.0370
angles (deg): 90.00 90.00 90.00
Element x y z (fractional)
Zn 0.0000 0.0000 0.5000
Li 0.0000 0.5000 0.0000
Li 0.5000 0.0000 0.0000
P 0.5000 0.5000 0.5000
H 0.0000 0.0000 0.0000


Computed, not measured: CsRb3Ca after structural relaxation at the PBE level of DFT.

Computed properties:
V = 523 Å³ per cell
crystal system = cubic
energy relative to the elements = 11.4 kcal/mol of atoms
DOS at the Fermi energy = 7.22 states/eV/f.u.
ΔE to the lowest computed polymorph = 215 meV/atom
VASP energy = -3.3 eV for the cell shown

a b c (Å): 8.0560 8.0560 8.0560
angles (deg): 90.00 90.00 90.00
Element x y z (fractional)
Rb 0.0000 0.5000 0.0000
Rb 0.0000 0.0000 0.5000
Rb 0.5000 0.0000 0.0000
Cs 0.0000 0.0000 0.0000
Ca 0.5000 0.5000 0.5000


Computed, not measured: BaHf2Ta after structural relaxation at the PBE level of DFT.

Computed properties:
V = 297 Å³ per cell
crystal system = tetragonal
energy relative to the elements = 32.7 kcal/mol of atoms
DOS at the Fermi energy = 5.31 states/eV/f.u.
ΔE to the lowest computed polymorph = 542 meV/atom
VASP energy = -56.0 eV for the cell shown

a b c (Å): 5.6337 5.6337 10.1601
angles (deg): 73.90 73.90 90.00
Element x y z (fractional)
Hf 0.8751 0.6250 0.2500
Hf 0.8749 0.1250 0.2500
Hf 0.3750 0.1251 0.7500
Hf 0.8750 0.1249 0.7500
Ta 0.7500 0.2500 0.5000
Ta 0.0000 0.0000 0.0000
Ba 0.2500 0.7500 0.5000
Ba 0.5000 0.5000 0.0000


Computed, not measured: MoP2H after structural relaxation at the PBE level of DFT.

Computed properties:
V = 91 Å³ per cell
crystal system = tetragonal
DOS at the Fermi energy = 2.89 states/eV/f.u.
ΔE to the lowest computed polymorph = 0 meV/atom
VASP energy = -47.7 eV for the cell shown

a b c (Å): 5.6104 5.6104 4.9106
angles (deg): 55.16 55.16 90.00
Element x y z (fractional)
P 0.8750 0.7817 0.7500
P 0.2183 0.6250 0.2500
P 0.5317 0.1250 0.2500
P 0.3750 0.4683 0.7500
H 0.2500 0.7500 0.5000
H 0.5000 0.5000 0.0000
Mo 0.7500 0.2500 0.5000
Mo 0.0000 0.0000 0.0000


Computed, not measured: Ba2SnN after structural relaxation at the PBE level of DFT.

Computed properties:
V = 127 Å³ per cell
crystal system = cubic
DOS at the Fermi energy = 5.36 states/eV/f.u.
VASP energy = -14.6 eV for the cell shown

a b c (Å): 5.6445 5.6445 5.6445
angles (deg): 60.00 60.00 60.00
Element x y z (fractional)
Ba 0.7500 0.7500 0.7500
Ba 0.2500 0.2500 0.2500
Sn 0.5000 0.5000 0.5000
N 0.0000 0.0000 0.0000


Computed, not measured: Tl2AgMo after structural relaxation at the PBE level of DFT.

Computed properties:
V = 86 Å³ per cell
crystal system = cubic
energy relative to the elements = 17.4 kcal/mol of atoms
DOS at the Fermi energy = 2.50 states/eV/f.u.
ΔE to the lowest computed polymorph = 196 meV/atom
VASP energy = -15.4 eV for the cell shown

a b c (Å): 4.9543 4.9543 4.9543
angles (deg): 60.00 60.00 60.00
Site moments in Bohr magnetons follow the coordinates.
Element x y z (fractional)
Mo 0.0000 0.0000 0.0000  2.40
Tl 0.2500 0.2500 0.2500  -0.01
Tl 0.7500 0.7500 0.7500  -0.01
Ag 0.5000 0.5000 0.5000  0.00


Computed, not measured: TbMgRu after structural relaxation at the PBE level of DFT.

Computed properties:
V = 139 Å³ per cell
crystal system = tetragonal
energy relative to the elements = -1.2 kcal/mol of atoms
DOS at the Fermi energy = 2.77 states/eV/f.u.
VASP energy = -31.3 eV for the cell shown

a b c (Å): 4.6927 4.6919 6.3022
angles (deg): 90.01 90.01 90.00
Element x y z (fractional)
Tb 0.2723 0.5985 0.2364
Tb 0.7726 0.0986 0.7365
Ru 0.7724 0.5986 0.9864
Ru 0.7724 0.5986 0.4864
Mg 0.7723 0.0985 0.2365
Mg 0.2725 0.5987 0.7365